(1)
Material: YTh2Sc2
Method: DFT, GGA-PBE
State: relaxed

Lattice parameters (Å, degrees): 12.431 12.431 9.804 90.00 90.00 157.31
Fractional coordinates of all 20 atoms:
1 Y 0.149 0.851 0.883
2 Y 0.351 0.649 0.383
3 Y 0.649 0.351 0.617
4 Y 0.851 0.149 0.117
5 Th 0.048 0.952 0.621
6 Th 0.249 0.751 0.125
7 Th 0.251 0.749 0.625
8 Th 0.452 0.548 0.121
9 Th 0.548 0.452 0.879
10 Th 0.749 0.251 0.375
11 Th 0.751 0.249 0.875
12 Th 0.952 0.048 0.379
13 Sc 0.047 0.953 0.129
14 Sc 0.148 0.852 0.366
15 Sc 0.352 0.648 0.866
16 Sc 0.453 0.547 0.629
17 Sc 0.547 0.453 0.371
18 Sc 0.648 0.352 0.134
19 Sc 0.852 0.148 0.634
20 Sc 0.953 0.047 0.871

Properties
symmetry = Cmce
polymorph energy (0 for the lowest one) = 0 meV per atom

***

(2)
Material: Y14ThSc
Method: DFT, GGA-PBE
State: relaxed

Lattice parameters (Å, degrees): 11.063 6.972 6.972 71.98 90.00 90.00
Fractional coordinates of all 16 atoms:
1 Y 0.000 0.000 0.000
2 Y 0.000 0.447 0.447
3 Y 0.000 0.511 0.935
4 Y 0.000 0.935 0.511
5 Y 0.250 0.801 0.801
6 Y 0.257 0.243 0.243
7 Y 0.257 0.312 0.733
8 Y 0.257 0.733 0.312
9 Y 0.500 0.519 0.946
10 Y 0.500 0.946 0.519
11 Y 0.743 0.243 0.243
12 Y 0.743 0.312 0.733
13 Y 0.743 0.733 0.312
14 Y 0.750 0.801 0.801
15 Th 0.500 0.016 0.016
16 Sc 0.500 0.455 0.455

Properties
symmetry = Amm2

***

(3)
Material: Y2Th5Sc4
Method: DFT, GGA-PBE
State: relaxed

Lattice parameters (Å, degrees): 8.504 3.429 11.309 90.00 96.41 90.00
Fractional coordinates of all 11 atoms:
1 Y 0.060 0.000 0.136
2 Y 0.940 0.000 0.864
3 Th 0.176 0.000 0.651
4 Th 0.448 0.000 0.198
5 Th 0.500 0.000 0.500
6 Th 0.552 0.000 0.802
7 Th 0.824 0.000 0.349
8 Sc 0.185 0.500 0.385
9 Sc 0.290 0.500 0.946
10 Sc 0.710 0.500 0.054
11 Sc 0.815 0.500 0.615

Properties
symmetry = P2/m

***

(4)
Material: YTh6Sc2
Method: DFT, GGA-PBE
State: relaxed

Lattice parameters (Å, degrees): 6.777 6.777 9.066 120.90 120.90 61.77
Fractional coordinates of all 9 atoms:
1 Y 0.000 0.000 0.000
2 Th 0.166 0.689 0.653
3 Th 0.311 0.834 0.347
4 Th 0.326 0.326 0.288
5 Th 0.674 0.674 0.712
6 Th 0.689 0.166 0.653
7 Th 0.834 0.311 0.347
8 Sc 0.301 0.301 0.878
9 Sc 0.699 0.699 0.122

Properties
symmetry = C2/m

***

(5)
Material: Y8Th2Sc
Method: DFT, GGA-PBE
State: relaxed

Lattice parameters (Å, degrees): 9.968 9.968 5.672 91.75 91.75 40.99
Fractional coordinates of all 11 atoms:
1 Y 0.048 0.048 0.234
2 Y 0.104 0.639 0.260
3 Y 0.322 0.322 0.767
4 Y 0.361 0.896 0.740
5 Y 0.639 0.104 0.260
6 Y 0.678 0.678 0.233
7 Y 0.896 0.361 0.740
8 Y 0.952 0.952 0.766
9 Th 0.220 0.220 0.264
10 Th 0.780 0.780 0.736
11 Sc 0.500 0.500 0.000

Properties
symmetry = C2/m
polymorph energy (0 for the lowest one) = 33 meV per atom

***

(6)
Material: YThSc2
Method: DFT, GGA-PBE
State: relaxed

Lattice parameters (Å, degrees): 5.490 5.490 3.730 90.00 90.00 90.00
Fractional coordinates of all 4 atoms:
1 Y 0.000 0.000 0.000
2 Th 0.500 0.500 0.000
3 Sc 0.000 0.500 0.500
4 Sc 0.500 0.000 0.500

Properties
symmetry = P4/mmm
polymorph energy (0 for the lowest one) = 32 meV per atom

***

(7)
Material: Y4ThSc
Method: DFT, GGA-PBE
State: relaxed

Lattice parameters (Å, degrees): 10.245 10.245 6.538 100.41 100.41 140.00
Fractional coordinates of all 12 atoms:
1 Y 0.117 0.371 0.239
2 Y 0.201 0.303 0.749
3 Y 0.303 0.201 0.249
4 Y 0.371 0.117 0.739
5 Y 0.629 0.883 0.261
6 Y 0.697 0.799 0.751
7 Y 0.799 0.697 0.251
8 Y 0.883 0.629 0.761
9 Th 0.285 0.715 0.750
10 Th 0.715 0.285 0.250
11 Sc 0.223 0.777 0.250
12 Sc 0.777 0.223 0.750

Properties
symmetry = C2/c
polymorph energy (0 for the lowest one) = 0 meV per atom

***

(8)
Material: Y3ThSc
Method: DFT, GGA-PBE
State: relaxed

Lattice parameters (Å, degrees): 8.971 8.971 8.971 44.06 44.06 44.06
Fractional coordinates of all 10 atoms:
1 Y 0.116 0.116 0.605
2 Y 0.116 0.605 0.116
3 Y 0.395 0.884 0.884
4 Y 0.605 0.116 0.116
5 Y 0.884 0.395 0.884
6 Y 0.884 0.884 0.395
7 Th 0.430 0.430 0.430
8 Th 0.570 0.570 0.570
9 Sc 0.166 0.166 0.166
10 Sc 0.834 0.834 0.834

Properties
symmetry = R-3m
polymorph energy (0 for the lowest one) = 132 meV per atom

***

Calculated total energy list, top to bottom, in eV/atom: -6.74 -6.45 -6.71 -6.67 -6.41 -6.58 -6.56 -6.30
Fermi-level density of states list, top to bottom, in states/eV/cell: 27.430 28.254 16.198 12.028 18.135 4.811 19.265 21.757